This record from the Alexandria database describes a relaxed CaZn2IrO6 crystal. The functional is GGA-PBE.

As for the total magnetization: 4.6 Bohr magnetons per cell. The calculation puts the formation energy (no corrections) at -1.3888 eV/atom. The calculation puts the total energy at -5.7048 eV/atom.

It has space group C2/c (No. 15), with a = 9.5538 Å, b = 9.5733 Å, c = 5.5979 Å, α = 90.00°, β = 96.56° and γ = 90.00°. The inequivalent atoms are Ca at (0.0000, 0.0889, 0.2500), Zn at (0.1783, 0.4064, 0.3014), Ir at (0.0000, 0.2724, 0.7500), O at (0.1049, 0.2678, 0.0626), O at (0.1161, 0.1147, 0.6362) and O at (0.1268, 0.4122, 0.6382).

***

This record from the Alexandria database describes a relaxed SmIn3Rh2 crystal. The functional is GGA-PBE.

As for the total magnetization: 0.0 Bohr magnetons per cell. The calculation puts the total energy at -5.0638 eV/atom.

It has space group C2/m (No. 12), with a = 18.7344 Å, b = 4.5418 Å, c = 10.0415 Å, α = 90.00°, β = 116.69° and γ = 90.00°. The inequivalent atoms are Sm at (0.0000, 0.0000, 0.0000), Sm at (0.1703, 0.0000, 0.6787), In at (0.0000, 0.5000, 0.5000), In at (0.0269, 0.0000, 0.3338), In at (0.1213, 0.5000, 0.1618), In at (0.1871, 0.5000, 0.9278), In at (0.2105, 0.0000, 0.3737), Rh at (0.0312, 0.5000, 0.8323), Rh at (0.1301, 0.5000, 0.4416) and Rh at (0.1662, 0.0000, 0.0598).

***

This record from the Alexandria database describes a relaxed LaGa3Pt crystal. The functional is GGA-PBE.

As for the total magnetization: 0.0 Bohr magnetons per cell. The value obtained for the polymorph energy (0 for the lowest one) is 0 meV/atom. The calculation puts the total energy at -4.8520 eV/atom.

It has space group I4mm (No. 107), with a = 4.3915 Å, b = 4.3915 Å, c = 10.5912 Å, α = 90.00°, β = 90.00° and γ = 90.00°. The inequivalent atoms are La at (0.0000, 0.0000, 0.0000), Ga at (0.0000, 0.0000, 0.5913), Ga at (0.0000, 0.5000, 0.2399) and Pt at (0.0000, 0.0000, 0.3579).

***

This record from the Alexandria database describes a relaxed La2TaZn crystal. The functional is GGA-PBE.

As for the total magnetization: 0.1 Bohr magnetons per cell. The calculation puts the total energy at -5.2764 eV/atom.

It has space group C2/m (No. 12), with a = 10.2149 Å, b = 3.2322 Å, c = 6.2048 Å, α = 90.00°, β = 96.42° and γ = 90.00°. The inequivalent atoms are La at (0.2411, 0.0000, 0.2508), Ta at (0.0000, 0.0000, 0.5000) and Zn at (0.0000, 0.5000, 0.0000).

***

This record from the Alexandria database describes a relaxed NaGdLu crystal. The functional is GGA-PBE.

As for the total magnetization: 15.9 Bohr magnetons per cell. The value obtained for the polymorph energy (0 for the lowest one) is 13 meV/atom. The calculation puts the total energy at -6.4766 eV/atom.

It has space group I4mm (No. 107), with a = 3.5177 Å, b = 3.5177 Å, c = 15.9722 Å, α = 90.00°, β = 90.00° and γ = 90.00°. The inequivalent atoms are Na at (0.0000, 0.0000, 0.0000), Gd at (0.0000, 0.0000, 0.6805) and Lu at (0.0000, 0.0000, 0.3266).

***

This record from the Alexandria database describes a relaxed Cs2K2Tl crystal. The functional is GGA-PBE.

As for the total magnetization: 0.0 Bohr magnetons per cell. The value obtained for the polymorph energy (0 for the lowest one) is 159 meV/atom. The calculation puts the total energy at -1.1202 eV/atom.

It has space group P4/mbm (No. 127), with a = 10.1134 Å, b = 10.1134 Å, c = 7.3551 Å, α = 90.00°, β = 90.00° and γ = 90.00°. The inequivalent atoms are Cs at (0.1554, 0.3446, 0.0000), K at (0.1768, 0.6768, 0.5000) and Tl at (0.0000, 0.0000, 0.0000).

***

This record from the Alexandria database describes a relaxed Li5Mg2Pd2 crystal. The functional is GGA-PBE.

As for the total magnetization: 0.0 Bohr magnetons per cell. The calculation puts the total energy at -2.8290 eV/atom.

It has space group Imma (No. 74), with a = 4.4188 Å, b = 12.6582 Å, c = 10.9774 Å, α = 90.00°, β = 90.00° and γ = 90.00°. The inequivalent atoms are Li at (0.0000, 0.0444, 0.1665), Li at (0.0000, 0.1457, 0.6977), Li at (0.0000, 0.2500, 0.1784), Mg at (0.0000, 0.0000, 0.5000), Mg at (0.0000, 0.2500, 0.4684) and Pd at (0.0000, 0.1379, 0.9490).

***

This record from the Alexandria database describes a relaxed Ca3ReIr crystal. The functional is GGA-PBE.

As for the total magnetization: 3.8 Bohr magnetons per cell. The value obtained for the polymorph energy (0 for the lowest one) is 0 meV/atom. The calculation puts the total energy at -4.5823 eV/atom.

It has space group Pm-3m (No. 221), with a = 5.3762 Å, b = 5.3762 Å, c = 5.3762 Å, α = 90.00°, β = 90.00° and γ = 90.00°. The inequivalent atoms are Ca at (0.0000, 0.0000, 0.5000), Re at (0.5000, 0.5000, 0.5000) and Ir at (0.0000, 0.0000, 0.0000).

***

This record from the Alexandria database describes a relaxed LuZn2Au crystal. The functional is GGA-PBE.

As for the total magnetization: 0.0 Bohr magnetons per cell. The calculation puts the total energy at -2.9790 eV/atom.

It has space group P4/mmm (No. 123), with a = 4.1460 Å, b = 4.1460 Å, c = 4.4317 Å, α = 90.00°, β = 90.00° and γ = 90.00°. The inequivalent atoms are Lu at (0.0000, 0.0000, 0.0000), Zn at (0.0000, 0.5000, 0.5000) and Au at (0.5000, 0.5000, 0.0000).

***

This record from the Alexandria database describes a relaxed CdP14Pb crystal. The functional is GGA-PBE.

As for the total magnetization: 0.0 Bohr magnetons per cell. The value obtained for the polymorph energy (0 for the lowest one) is 0 meV/atom. The calculation puts the total energy at -5.0711 eV/atom.

It has space group Pnma (No. 62), with a = 13.4832 Å, b = 9.8890 Å, c = 11.1353 Å, α = 90.00°, β = 90.00° and γ = 90.00°. The inequivalent atoms are Cd at (0.1795, 0.2500, 0.0070), P at (0.0246, 0.5764, 0.1540), P at (0.0276, 0.2500, 0.1635), P at (0.0484, 0.7500, 0.2780), P at (0.0589, 0.0822, 0.2896), P at (0.0796, 0.5782, 0.5893), P at (0.0886, 0.2500, 0.6067), P at (0.1362, 0.0482, 0.8644), P at (0.1703, 0.7500, 0.6549), P at (0.1770, 0.0767, 0.6755) and Pb at (0.1711, 0.7500, 0.9081).

***

This record from the Alexandria database describes a relaxed RbNaIn2Au crystal. The functional is GGA-PBE.

As for the total magnetization: 0.0 Bohr magnetons per cell. The calculation puts the total energy at -2.3210 eV/atom.

It has space group P4/mmm (No. 123), with a = 5.4405 Å, b = 5.4405 Å, c = 5.8077 Å, α = 90.00°, β = 90.00° and γ = 90.00°. The inequivalent atoms are Rb at (0.0000, 0.0000, 0.0000), Na at (0.5000, 0.5000, 0.0000), In at (0.0000, 0.5000, 0.5000) and Au at (0.5000, 0.5000, 0.5000).

***

This record from the Alexandria database describes a relaxed AsPtSe2N crystal. The functional is GGA-PBE.

As for the total magnetization: 0.0 Bohr magnetons per cell. The value obtained for the polymorph energy (0 for the lowest one) is 1058 meV/atom. The calculation puts the formation energy (no corrections) at 1.7380 eV/atom. The calculation puts the total energy at -3.4590 eV/atom.

It has space group P4/mmm (No. 123), with a = 4.9767 Å, b = 4.9767 Å, c = 4.7881 Å, α = 90.00°, β = 90.00° and γ = 90.00°. The inequivalent atoms are As at (0.0000, 0.0000, 0.0000), Pt at (0.0000, 0.0000, 0.5000), Se at (0.0000, 0.5000, 0.5000) and N at (0.5000, 0.5000, 0.0000).